A plane-wave DFT calculation with PBE was carried out for a relaxed Na7ReN3 crystal.

abc: 6.9149 6.9786 6.9808
angles: 77.87 60.31 60.30
Element x y z (fractional)
Na (0.2786, 0.0838, 0.8548)
Na (0.8736, 0.4198, 0.3340)
Na (0.3018, 0.5767, 0.8198)
Na (0.3726, 0.4198, 0.3340)
Na (0.8439, 0.9322, 0.3800)
Na (0.7828, 0.0838, 0.8548)
Na (0.3156, 0.9271, 0.4416)
N (0.5952, 0.7289, 0.6372)
N (0.0388, 0.7289, 0.6372)
N (0.0225, 0.2928, 0.6621)
Re (0.8490, 0.5887, 0.7133)

As for the crystal system: monoclinic.


A plane-wave DFT calculation with PBE was carried out for a relaxed NaReSN2 crystal.

abc: 3.8648 3.8648 4.9659
angles: 90.00 90.00 90.00
Element x y z (fractional)
N (0.5000, 0.0000, 0.0000)
N (0.0000, 0.5000, 0.0000)
S (0.0000, 0.0000, 0.5000)
Na (0.5000, 0.5000, 0.5000)
Re (0.0000, 0.0000, 0.0000)

As for the crystal system: tetragonal. Its offset from the most stable computed form is 0.0 meV per atom.


A plane-wave DFT calculation with PBE was carried out for a relaxed NaReSN2 crystal.

abc: 4.0823 4.0823 4.8400
angles: 90.00 90.00 90.00
Each line ends with the local moment (μB).
Element x y z (fractional)
N (0.0000, 0.5000, 0.0000)  1.35
N (0.5000, 0.0000, 0.0000)  1.35
Re (0.5000, 0.5000, 0.5000)  -3.38
S (0.0000, 0.0000, 0.5000)  0.22
Na (0.0000, 0.0000, 0.0000)  0.05

As for the crystal system: tetragonal. Its offset from the most stable computed form is 2595.4 meV per atom.


A plane-wave DFT calculation with PBE was carried out for a relaxed NaReSeN2 crystal.

abc: 3.9452 3.9452 4.8310
angles: 90.00 90.00 90.00
Element x y z (fractional)
Se (0.0000, 0.0000, 0.5000)
Re (0.5000, 0.5000, 0.5000)
N (0.5000, 0.0000, 0.0000)
N (0.0000, 0.5000, 0.0000)
Na (0.0000, 0.0000, 0.0000)

As for the crystal system: tetragonal. Its offset from the most stable computed form is 2767.5 meV per atom.


A plane-wave DFT calculation with PBE was carried out for a relaxed NaReSeN2 crystal.

abc: 3.8785 3.8785 5.3179
angles: 90.00 90.00 90.00
Element x y z (fractional)
N (0.5000, 0.0000, 0.0000)
N (0.0000, 0.5000, 0.0000)
Na (0.5000, 0.5000, 0.5000)
Re (0.0000, 0.0000, 0.0000)
Se (0.0000, 0.0000, 0.5000)

As for the crystal system: tetragonal. Its offset from the most stable computed form is 0.0 meV per atom.


A plane-wave DFT calculation with PBE was carried out for a relaxed NaSm2ReN4 crystal.

abc: 3.4637 6.6129 12.3251
angles: 90.00 90.00 105.18
Element x y z (fractional)
Sm (0.3738, 0.7476, 0.9620)
Sm (0.6262, 0.2524, 0.4620)
Sm (0.3738, 0.7476, 0.5380)
Sm (0.6262, 0.2524, 0.0380)
N (0.0000, 0.0000, 0.5000)
N (0.3828, 0.7656, 0.7500)
N (0.6172, 0.2344, 0.2500)
N (0.7431, 0.4863, 0.8873)
N (0.2569, 0.5137, 0.1127)
N (0.0000, 0.0000, 0.0000)
N (0.2569, 0.5137, 0.3873)
N (0.7431, 0.4863, 0.6127)
Re (0.1984, 0.3968, 0.2500)
Re (0.8016, 0.6032, 0.7500)
Na (0.9485, 0.8971, 0.2500)
Na (0.0515, 0.1029, 0.7500)

As for the crystal system: orthorhombic.


Number 1: formation energy (no corrections) -86 meV/atom, raw total energy -47.61 eV for the cell shown, magnetization 0.000 Bohr magnetons per cell. Number 2: formation energy (no corrections) 13 meV/atom, raw total energy -34.48 eV for the cell shown, magnetization 0.000 Bohr magnetons per cell. Number 3: formation energy (no corrections) 2608 meV/atom, raw total energy -21.50 eV for the cell shown, magnetization 0.178 Bohr magnetons per cell. Number 4: formation energy (no corrections) 2848 meV/atom, raw total energy -19.66 eV for the cell shown, magnetization 0.000 Bohr magnetons per cell. Number 5: formation energy (no corrections) 81 meV/atom, raw total energy -33.50 eV for the cell shown, magnetization 0.000 Bohr magnetons per cell. Number 6: formation energy (no corrections) -712 meV/atom, raw total energy -124.41 eV for the cell shown, magnetization 0.000 Bohr magnetons per cell.